! MgSi (GGA-PBE, relaxed); values from VASP
&SYSTEM
  ibrav = 0, nat = 12, ntyp = 2
/
ATOMIC_SPECIES
Mg 24.30 Mg.upf
Si 28.09 Si.upf
CELL_PARAMETERS angstrom
-0.666 4.130 1.361
-0.556 -3.556 4.070
10.074 0.776 1.562
ATOMIC_POSITIONS angstrom
Mg 8.509 -0.614 4.842
Mg 1.562 -1.102 3.386
Si 2.865 1.328 3.446
Mg 2.791 3.759 2.114
Si -0.161 0.535 4.746
Mg 0.378 1.539 2.062
Mg 5.538 0.717 5.895
Si 4.116 -1.473 4.126
Si 6.114 -0.482 3.377
Si 4.964 1.492 2.362
Si 9.083 0.384 2.099
Mg 7.356 2.020 3.506
! raw formation energy = 0.09 eV/f.u.
! SG = No. 1
! DFT total energy = -3.4614 eV per atom

! KBa2Na6 (GGA-PBE, relaxed); values from VASP
&SYSTEM
  ibrav = 0, nat = 9, ntyp = 3
/
ATOMIC_SPECIES
Na 22.99 Na.upf
Ba 137.33 Ba.upf
K 39.10 K.upf
CELL_PARAMETERS angstrom
-5.840 -5.257 0.115
1.211 -1.516 -7.681
5.073 -5.685 -2.170
ATOMIC_POSITIONS angstrom
Na -2.633 -4.757 -1.754
Na -2.084 -5.398 -5.146
Ba -0.874 -9.357 -6.467
Na 0.815 -5.210 -7.036
Na -0.371 -7.248 -2.701
K 0.000 0.000 0.000
Ba 1.318 -3.101 -3.270
Na 3.077 -7.701 -7.982
Na 2.529 -7.060 -4.590
! SG = No. 12
! DFT total energy = -1.4054 eV per atom
! ΔH_f (0 K) = 0.023 eV/atom
! relative energy among the computed polymorphs = 0.000 eV/atom

! ScSb3 (GGA-PBE, relaxed); values from VASP
&SYSTEM
  ibrav = 0, nat = 4, ntyp = 2
/
ATOMIC_SPECIES
Sc 44.96 Sc.upf
Sb 121.76 Sb.upf
CELL_PARAMETERS angstrom
-5.470 -0.248 -0.374
0.187 -5.416 0.870
-0.408 0.854 5.406
ATOMIC_POSITIONS angstrom
Sc 0.000 0.000 0.000
Sb -2.735 -0.124 -0.187
Sb 0.093 -2.708 0.435
Sb -0.204 0.427 2.703
! raw formation energy = 0.81 eV/f.u.
! SG = No. 221
! DFT total energy = -4.4723 eV per atom
! relative energy among the computed polymorphs = 0.570 eV/atom

no.,spin magnetization (μB/f.u.),ρ (g cm⁻³)
1,0.00,2.300
2,0.00,1.757
3,0.00,4.121